Entry from the Alexandria database: a relaxed Na2AcAu crystal (PBE). Values from VASP.

The structure in Quantum ESPRESSO input format:
```
&SYSTEM
  ibrav = 0, nat = 4, ntyp = 3
/
ATOMIC_SPECIES
Na 22.99 Na.upf
Ac 227.00 Ac.upf
Au 196.97 Au.upf
CELL_PARAMETERS angstrom
3.785 0.000 0.000
1.893 3.278 0.000
1.893 1.093 11.532
ATOMIC_POSITIONS crystal
Na 0.109 0.109 0.672
Na 0.891 0.891 0.328
Ac 0.000 0.000 0.000
Au 0.500 0.500 0.500
```

Space-group type   No. 166
M_tot   0.0 μB/f.u.
Energy relative to the elements   104 meV/atom
Total DFT energy (no corrections)   -9.61 eV per cell

---

Entry from the Alexandria database: a relaxed NaAcAu crystal (PBE). Values from VASP.

The structure in Quantum ESPRESSO input format:
```
&SYSTEM
  ibrav = 0, nat = 6, ntyp = 3
/
ATOMIC_SPECIES
Na 22.99 Na.upf
Ac 227.00 Ac.upf
Au 196.97 Au.upf
CELL_PARAMETERS angstrom
4.453 0.000 -0.003
0.000 4.453 0.000
-2.191 -2.226 9.189
ATOMIC_POSITIONS crystal
Na 0.500 0.500 0.000
Na 0.000 0.000 0.000
Ac 0.680 0.181 0.362
Ac 0.320 0.819 0.638
Au 0.868 0.368 0.735
Au 0.132 0.632 0.265
```

Space-group type   No. 12
M_tot   0.0 μB/f.u.
Distance to the lowest polymorph of the same formula   2 meV per atom
Energy relative to the elements   -465 meV/atom
Total DFT energy (no corrections)   -20.20 eV per cell

---

Entry from the Alexandria database: a relaxed NaAc4Au2 crystal (PBE). Values from VASP.

The structure in Quantum ESPRESSO input format:
```
&SYSTEM
  ibrav = 0, nat = 14, ntyp = 3
/
ATOMIC_SPECIES
Na 22.99 Na.upf
Ac 227.00 Ac.upf
Au 196.97 Au.upf
CELL_PARAMETERS angstrom
-1.493 -8.079 2.115
2.196 0.056 -8.195
7.437 3.120 5.123
ATOMIC_POSITIONS crystal
Na 0.250 0.750 0.500
Na 0.000 0.000 0.000
Ac 0.945 0.238 0.349
Ac 0.305 0.512 0.152
Ac 0.889 0.597 0.651
Ac 0.762 0.055 0.652
Ac 0.403 0.110 0.348
Ac 0.360 0.153 0.848
Ac 0.488 0.695 0.849
Ac 0.847 0.639 0.152
Au 0.625 0.375 0.750
Au 0.625 0.875 0.250
Au 0.625 0.375 0.250
Au 0.125 0.375 0.750
```

Space-group type   No. 70
M_tot   0.0 μB/f.u.
Energy relative to the elements   -244 meV/atom
Total DFT energy (no corrections)   -52.03 eV per cell

---

Entry from the Alexandria database: a relaxed NaAcAu2 crystal (PBE). Values from VASP.

The structure in Quantum ESPRESSO input format:
```
&SYSTEM
  ibrav = 0, nat = 4, ntyp = 3
/
ATOMIC_SPECIES
Na 22.99 Na.upf
Ac 227.00 Ac.upf
Au 196.97 Au.upf
CELL_PARAMETERS angstrom
-1.910 3.919 -2.500
-4.103 -0.590 -2.842
-4.784 2.175 2.013
ATOMIC_POSITIONS crystal
Na 0.000 0.000 0.000
Ac 0.500 0.500 0.500
Au 0.727 0.727 0.820
Au 0.273 0.273 0.180
```

Space-group type   No. 166
M_tot   0.0 μB/f.u.
Distance to the lowest polymorph of the same formula   0 meV per atom
Energy relative to the elements   -615 meV/atom
Total DFT energy (no corrections)   -14.44 eV per cell